1.
Here is a geometry-optimized LaHgO3 structure from OQMD via LeMat-Bulk. Energies are from GGA-PBE.

Cell: 4.1766 4.1766 4.6646 Å, 90.00 90.00 90.00°
Fractional coordinates of all 5 atoms:
La 0.0000 0.0000 0.0000
Hg 0.5000 0.5000 0.6038
O 0.0000 0.5000 0.7210
O 0.5000 0.0000 0.7210
O 0.5000 0.5000 0.1297

Output
Final energy   -27.28 eV per cell



2.
Here is a geometry-optimized La2HgO4 structure from OQMD via LeMat-Bulk. Energies are from GGA-PBE.

Cell: 7.1494 7.1494 7.1494 Å, 60.00 60.00 60.00°
Fractional coordinates of all 14 atoms:
La 0.0000 0.0000 0.0000
La 0.0000 0.0000 0.5000
La 0.0000 0.5000 0.0000
La 0.5000 0.0000 0.0000
Hg 0.3750 0.3750 0.3750
Hg 0.6250 0.6250 0.6250
O 0.2161 0.7613 0.7613
O 0.2387 0.2387 0.2387
O 0.2387 0.2387 0.7839
O 0.2387 0.7839 0.2387
O 0.7613 0.2161 0.7613
O 0.7613 0.7613 0.2161
O 0.7613 0.7613 0.7613
O 0.7839 0.2387 0.2387

Output
Final energy   -93.30 eV per cell



3.
Here is a geometry-optimized La2Hg2O5 structure from OQMD via LeMat-Bulk. Energies are from GGA-PBE.

Cell: 6.8979 6.8979 6.0085 Å, 90.00 90.00 90.00°
Fractional coordinates of all 18 atoms:
La 0.0970 0.7481 0.0000
La 0.2519 0.0970 0.5000
La 0.7481 0.9030 0.5000
La 0.9030 0.2519 0.0000
Hg 0.2747 0.5882 0.5000
Hg 0.4118 0.2747 0.0000
Hg 0.5882 0.7253 0.0000
Hg 0.7253 0.4118 0.5000
O 0.0000 0.0000 0.2500
O 0.0000 0.0000 0.7500
O 0.1750 0.3745 0.2394
O 0.1750 0.3745 0.7606
O 0.3745 0.8250 0.2606
O 0.3745 0.8250 0.7394
O 0.6255 0.1750 0.2606
O 0.6255 0.1750 0.7394
O 0.8250 0.6255 0.2394
O 0.8250 0.6255 0.7606

Output
Energy relative to the lowest polymorph listed for this composition   0.000 eV per atom



4.
Here is a geometry-optimized LaHgO3 structure from OQMD via LeMat-Bulk. Energies are from GGA-PBE.

Cell: 6.4599 8.1403 5.7295 Å, 90.00 90.00 90.00°
Fractional coordinates of all 20 atoms:
La 0.0896 0.2500 0.0276
La 0.4104 0.7500 0.5276
La 0.5896 0.2500 0.4724
La 0.9104 0.7500 0.9724
Hg 0.0000 0.0000 0.5000
Hg 0.0000 0.5000 0.5000
Hg 0.5000 0.0000 0.0000
Hg 0.5000 0.5000 0.0000
O 0.0564 0.7500 0.3588
O 0.1634 0.5663 0.8058
O 0.1634 0.9337 0.8058
O 0.3366 0.0663 0.3058
O 0.3366 0.4337 0.3058
O 0.4436 0.2500 0.8588
O 0.5564 0.7500 0.1412
O 0.6634 0.5663 0.6942
O 0.6634 0.9337 0.6942
O 0.8366 0.0663 0.1942
O 0.8366 0.4337 0.1942
O 0.9436 0.2500 0.6412

Output
Final energy   -114.42 eV per cell